Compound: TeHRuI2
Source: Alexandria
Functional: PBE
Structure: relaxed

Values from the calculation:
Space-group type   No. 123
Uncorrected energy   -2.7217 eV per atom
Volume   23.9 A^3/atom

a b c (Å): 5.6153 5.6153 3.7943
angles (deg): 90.00 90.00 90.00
Site moments in Bohr magnetons follow the coordinates.
Positions (direct):
1 H 0.0000 0.0000 0.0000  0.00
2 I 0.0000 0.5000 0.0000  0.06
3 I 0.5000 0.0000 0.0000  0.06
4 Te 0.0000 0.0000 0.5000  -0.07
5 Ru 0.5000 0.5000 0.5000  2.54

---

Compound: ReAgTe2
Source: Alexandria
Functional: PBE
Structure: relaxed

Values from the calculation:
Space-group type   No. 35
Energy relative to the elements, uncorrected   63 kJ per mole of atoms
Uncorrected energy   -4.7382 eV per atom
Volume   22.8 A^3/atom

a b c (Å): 3.0769 3.0769 10.5343
angles (deg): 90.00 90.00 113.82
Positions (direct):
1 Re 0.5000 0.5000 0.7458
2 Te 0.5000 0.5000 0.2847
3 Te 0.0000 0.0000 0.9405
4 Ag 0.0000 0.0000 0.5289

---

Compound: Pu3Hg2Sb
Source: Alexandria
Functional: PBE
Structure: relaxed

Values from the calculation:
Space-group type   No. 164
Energy relative to the elements, uncorrected   -23 kJ per mole of atoms
Uncorrected energy   -8.1916 eV per atom
Volume   27.1 A^3/atom

a b c (Å): 5.3831 5.3831 6.4680
angles (deg): 90.00 90.00 120.00
Site moments in Bohr magnetons follow the coordinates.
Positions (direct):
1 Sb 0.0000 0.0000 0.0000  0.06
2 Hg 0.6667 0.3333 0.3794  -0.01
3 Pu 0.3333 0.6667 0.1187  -5.57
4 Hg 0.3333 0.6667 0.6206  -0.01
5 Pu 0.0000 0.0000 0.5000  5.39
6 Pu 0.6667 0.3333 0.8813  -5.57

---

Compound: Sr2In3Ag4Hg
Source: Alexandria
Functional: PBE
Structure: relaxed

Values from the calculation:
Space-group type   No. 115
ΔE_f   -0.253 eV per atom
Uncorrected energy   -2.5818 eV per atom
Volume   25.9 A^3/atom

a b c (Å): 4.5245 4.5245 12.6549
angles (deg): 90.00 90.00 90.00
Positions (direct):
1 Ag 0.5000 0.5000 0.0000
2 Ag 0.0000 0.0000 0.0000
3 In 0.5000 0.0000 0.8648
4 In 0.0000 0.0000 0.5000
5 Hg 0.5000 0.5000 0.5000
6 Sr 0.5000 0.0000 0.2512
7 Ag 0.5000 0.0000 0.6462
8 Ag 0.0000 0.5000 0.3538
9 Sr 0.0000 0.5000 0.7488
10 In 0.0000 0.5000 0.1352

---

Compound: TaMnCd4
Source: Alexandria
Functional: PBE
Structure: relaxed

Values from the calculation:
Space-group type   No. 216
ΔE_f   0.566 eV per atom
Uncorrected energy   -3.5476 eV per atom
Volume   20.1 A^3/atom

a b c (Å): 5.5457 5.5457 5.5457
angles (deg): 60.00 60.00 60.00
Site moments in Bohr magnetons follow the coordinates.
Positions (direct):
1 Cd 0.3750 0.8751 0.3750  -0.05
2 Cd 0.8751 0.3750 0.3750  -0.05
3 Ta 0.0000 0.0000 0.0000  -1.45
4 Mn 0.7500 0.7500 0.7500  3.67
5 Cd 0.3750 0.3750 0.3750  -0.05
6 Cd 0.3750 0.3750 0.8751  -0.05

---

Compound: ZrTc3Hg
Source: Alexandria
Functional: PBE
Structure: relaxed

Values from the calculation:
Space-group type   No. 221
ΔE_f   1.844 eV per atom
Uncorrected energy   -6.1459 eV per atom
Volume   22.3 A^3/atom

a b c (Å): 4.8110 4.8110 4.8110
angles (deg): 90.00 90.00 90.00
Site moments in Bohr magnetons follow the coordinates.
Positions (direct):
1 Tc 0.5000 0.0000 0.0000  1.25
2 Zr 0.0000 0.0000 0.0000  -0.09
3 Tc 0.0000 0.0000 0.5000  0.93
4 Hg 0.5000 0.5000 0.5000  -0.02
5 Tc 0.0000 0.5000 0.0000  1.03

---

Compound: LaTi2Tl2O7
Source: Alexandria
Functional: PBE
Structure: relaxed

Values from the calculation:
Space-group type   No. 12
Energy relative to the elements, uncorrected   -233 kJ per mole of atoms
Uncorrected energy   -7.4260 eV per atom
Volume   14.0 A^3/atom

a b c (Å): 3.8984 3.8984 11.1577
angles (deg): 83.60 83.60 89.39
Positions (direct):
1 Tl 0.8248 0.8248 0.3893
2 Ti 0.4279 0.4279 0.1863
3 Tl 0.1752 0.1752 0.6107
4 O 0.4539 0.9499 0.1657
5 O 0.9499 0.4539 0.1657
6 Ti 0.5721 0.5721 0.8137
7 La 0.0000 0.0000 0.0000
8 O 0.0501 0.5461 0.8343
9 O 0.6045 0.6045 0.6393
10 O 0.5000 0.5000 0.0000
11 O 0.3955 0.3955 0.3607
12 O 0.5461 0.0501 0.8343

---

Compound: DyIn2Pb
Source: Alexandria
Functional: PBE
Structure: relaxed

Values from the calculation:
Space-group type   No. 225
ΔE_f   -0.142 eV per atom
Uncorrected energy   -3.5890 eV per atom
Volume   28.3 A^3/atom

a b c (Å): 5.4288 5.4288 5.4298
angles (deg): 60.01 60.01 60.00
Positions (direct):
1 In 0.2500 0.2500 0.2499
2 Dy 0.0000 0.0000 0.0000
3 Pb 0.5000 0.5000 0.5000
4 In 0.7500 0.7500 0.7501

---

Compound: Sm2GaBiO6
Source: Alexandria
Functional: PBE
Structure: relaxed

Values from the calculation:
Space-group type   No. 99
Energy relative to the elements, uncorrected   -219 kJ per mole of atoms
Uncorrected energy   -6.8799 eV per atom
Volume   15.7 A^3/atom

a b c (Å): 5.4023 5.3886 5.3886
angles (deg): 90.00 90.00 90.00
Positions (direct):
1 Ga 0.5884 0.0000 0.0000
2 Sm 0.9875 0.0000 0.5000
3 O 0.2427 0.0000 0.0000
4 O 0.7421 0.2355 0.2355
5 O 0.7421 0.7645 0.2355
6 O 0.1222 0.5000 0.5000
7 O 0.7421 0.7645 0.7645
8 Sm 0.9875 0.5000 0.0000
9 O 0.7421 0.2355 0.7645
10 Bi 0.5500 0.5000 0.5000

---

Compound: InOsRh2
Source: Alexandria
Functional: PBE
Structure: relaxed

Values from the calculation:
Space-group type   No. 99
ΔE_f   0.134 eV per atom
Uncorrected energy   -7.0335 eV per atom
Volume   15.7 A^3/atom

a b c (Å): 2.8541 2.8541 7.6863
angles (deg): 90.00 90.00 90.00
Positions (direct):
1 Rh 0.0000 0.0000 0.9925
2 Rh 0.5000 0.5000 0.2411
3 Os 0.5000 0.5000 0.7715
4 In 0.0000 0.0000 0.4949

---

Compound: Sm2PaIn9
Source: Alexandria
Functional: PBE
Structure: relaxed

Values from the calculation:
Space-group type   No. 123
ΔE_f   -0.353 eV per atom
Uncorrected energy   -3.9850 eV per atom
Volume   25.4 A^3/atom

a b c (Å): 4.6634 4.6634 14.0146
angles (deg): 90.00 90.00 90.00
Site moments in Bohr magnetons follow the coordinates.
Positions (direct):
1 In 0.5000 0.5000 0.0000  0.02
2 Sm 0.0000 0.0000 0.6677  0.00
3 In 0.5000 0.0000 0.5000  0.00
4 In 0.0000 0.5000 0.8354  0.01
5 Sm 0.0000 0.0000 0.3323  0.00
6 In 0.5000 0.0000 0.8354  0.01
7 In 0.5000 0.0000 0.1646  0.01
8 Pa 0.0000 0.0000 0.0000  0.58
9 In 0.0000 0.5000 0.5000  0.00
10 In 0.5000 0.5000 0.6675  0.00
11 In 0.5000 0.5000 0.3325  0.00
12 In 0.0000 0.5000 0.1646  0.01

---

Compound: ErPu2Ge2
Source: Alexandria
Functional: PBE
Structure: relaxed

Values from the calculation:
Space-group type   No. 11
ΔE_f   -0.346 eV per atom
Uncorrected energy   -8.8384 eV per atom
Volume   23.2 A^3/atom

a b c (Å): 5.2410 5.3485 8.6068
angles (deg): 105.70 90.00 90.00
Site moments in Bohr magnetons follow the coordinates.
Positions (direct):
1 Pu 0.2500 0.3691 0.4321  5.48
2 Pu 0.2500 0.6541 0.8301  5.28
3 Ge 0.7500 0.0449 0.4053  -0.12
4 Ge 0.2500 0.2485 0.0296  -0.10
5 Ge 0.7500 0.7515 0.9704  -0.10
6 Er 0.7500 0.1725 0.7846  0.16
7 Pu 0.7500 0.3459 0.1699  5.28
8 Er 0.2500 0.8275 0.2154  0.16
9 Ge 0.2500 0.9551 0.5947  -0.12
10 Pu 0.7500 0.6309 0.5679  5.48

---

Compound: PmTm2Zn
Source: Alexandria
Functional: PBE
Structure: relaxed

Values from the calculation:
Space-group type   No. 166
ΔE_f   -0.076 eV per atom
Uncorrected energy   -3.8182 eV per atom
Volume   27.9 A^3/atom

a b c (Å): 3.5442 3.5442 10.4649
angles (deg): 80.25 80.25 60.00
Positions (direct):
1 Pm 0.5000 0.5000 0.5000
2 Tm 0.7382 0.7382 0.7854
3 Zn 0.0000 0.0000 0.0000
4 Tm 0.2618 0.2618 0.2146

---

Compound: RbCaPu2Br8
Source: Alexandria
Functional: PBE
Structure: relaxed

Values from the calculation:
Space-group type   No. 2
Energy relative to the elements, uncorrected   -161 kJ per mole of atoms
Uncorrected energy   -5.4201 eV per atom
Volume   38.3 A^3/atom

a b c (Å): 7.2048 6.9463 9.1801
angles (deg): 89.95 89.98 88.22
Site moments in Bohr magnetons follow the coordinates.
Positions (direct):
1 Br 0.3790 0.2732 0.5002  -0.03
2 Br 0.1655 0.7495 0.2180  -0.01
3 Br 0.6587 0.7356 0.9999  -0.03
4 Rb 0.0000 0.0000 0.5000  0.00
5 Br 0.1660 0.7500 0.7823  -0.01
6 Pu 0.4999 0.5000 0.2454  5.46
7 Pu 0.5001 0.5000 0.7546  5.46
8 Ca 0.0000 0.0000 0.0000  0.01
9 Br 0.3413 0.2644 0.0001  -0.03
10 Br 0.6210 0.7268 0.4998  -0.03
11 Br 0.8345 0.2505 0.7820  -0.01
12 Br 0.8340 0.2500 0.2177  -0.01

---

Compound: Mg3TlPb7
Source: Alexandria
Functional: PBE
Structure: relaxed

Values from the calculation:
Space-group type   No. 156
ΔE_f   0.049 eV per atom
Uncorrected energy   -2.9607 eV per atom
Volume   30.0 A^3/atom

a b c (Å): 7.2039 7.2767 7.2767
angles (deg): 120.00 90.00 90.00
Positions (direct):
1 Mg 0.7815 0.0013 0.5007
2 Pb 0.0925 0.6815 0.8408
3 Pb 0.4742 0.8438 0.1562
4 Mg 0.7815 0.4993 0.9987
5 Pb 0.0925 0.1592 0.3185
6 Pb 0.4742 0.3124 0.1562
7 Pb 0.1196 0.6667 0.3333
8 Pb 0.4742 0.8438 0.6876
9 Mg 0.7815 0.4993 0.5007
10 Pb 0.0925 0.1592 0.8408
11 Tl 0.4508 0.3333 0.6667

---

Compound: Ti3SnH
Source: Alexandria
Functional: PBE
Structure: relaxed

Values from the calculation:
Space-group type   No. 221
Uncorrected energy   -4.6649 eV per atom
Volume   28.6 A^3/atom

a b c (Å): 5.2319 5.2319 5.2319
angles (deg): 90.00 90.00 90.00
Site moments in Bohr magnetons follow the coordinates.
Positions (direct):
1 Ti 0.0000 0.5000 0.0000  1.75
2 Ti 0.0000 0.0000 0.5000  1.81
3 Ti 0.5000 0.0000 0.0000  1.60
4 H 0.5000 0.5000 0.5000  -0.12
5 Sn 0.0000 0.0000 0.0000  -0.04

---

Compound: CrCo3Re
Source: Alexandria
Functional: PBE
Structure: relaxed

Values from the calculation:
Space-group type   No. 221
ΔE_f   1.858 eV per atom
Uncorrected energy   -6.8202 eV per atom
Volume   16.9 A^3/atom

a b c (Å): 4.3871 4.3871 4.3871
angles (deg): 90.00 90.00 90.00
Site moments in Bohr magnetons follow the coordinates.
Positions (direct):
1 Cr 0.5000 0.5000 0.5000  -0.03
2 Co 0.5000 0.0000 0.0000  0.59
3 Co 0.0000 0.0000 0.5000  0.43
4 Re 0.0000 0.0000 0.0000  0.04
5 Co 0.0000 0.5000 0.0000  0.48

---

Compound: PrLuPu4
Source: Alexandria
Functional: PBE
Structure: relaxed

Values from the calculation:
Space-group type   No. 216
ΔE_f   0.242 eV per atom
Uncorrected energy   -10.8631 eV per atom
Volume   28.0 A^3/atom

a b c (Å): 6.1965 6.1965 6.1965
angles (deg): 60.00 60.00 60.00
Site moments in Bohr magnetons follow the coordinates.
Positions (direct):
1 Lu 0.0000 0.0000 0.0000  0.11
2 Pr 0.2500 0.2500 0.2500  -0.01
3 Pu 0.6252 0.6252 0.6252  5.39
4 Pu 0.6252 0.6252 0.1244  5.39
5 Pu 0.1244 0.6252 0.6252  5.39
6 Pu 0.6252 0.1244 0.6252  5.39

---

Compound: HoPuGeSe
Source: Alexandria
Functional: PBE
Structure: relaxed

Values from the calculation:
Space-group type   No. 160
Energy relative to the elements, uncorrected   -109 kJ per mole of atoms
Uncorrected energy   -7.8803 eV per atom
Volume   25.0 A^3/atom

a b c (Å): 4.1383 4.1383 7.1541
angles (deg): 73.19 73.19 60.00
Site moments in Bohr magnetons follow the coordinates.
Positions (direct):
1 Ge 0.1943 0.1943 0.4172  0.13
2 Ho 0.9422 0.9422 0.1734  0.09
3 Se 0.6938 0.6938 0.9187  0.06
4 Pu 0.4462 0.4462 0.6613  -5.11

---

Compound: CsKMo2
Source: Alexandria
Functional: PBE
Structure: relaxed

Values from the calculation:
Space-group type   No. 225
ΔE_f   2.839 eV per atom
Uncorrected energy   -3.0639 eV per atom
Volume   24.0 A^3/atom

a b c (Å): 5.1379 5.1379 5.1379
angles (deg): 60.00 60.00 60.00
Positions (direct):
1 Mo 0.7500 0.7500 0.7500
2 Mo 0.2500 0.2500 0.2500
3 Cs 0.5000 0.5000 0.5000
4 K 0.0000 0.0000 0.0000

---

Compound: Na3MgU3S8
Source: Alexandria
Functional: PBE
Structure: relaxed

Values from the calculation:
Space-group type   No. 166
Energy relative to the elements, uncorrected   -132 kJ per mole of atoms
Uncorrected energy   -6.1934 eV per atom
Volume   24.0 A^3/atom

a b c (Å): 7.8442 7.8430 8.1345
angles (deg): 118.82 90.00 120.00
Site moments in Bohr magnetons follow the coordinates.
Positions (direct):
1 Mg 0.0000 0.0000 0.5000  0.00
2 U 0.5000 0.5000 0.5000  2.27
3 U 0.0000 0.5000 0.5000  2.27
4 S 0.7435 0.4870 0.7307  -0.06
5 S 0.2366 0.4732 0.7173  -0.05
6 Na 0.0000 0.0000 0.0000  0.00
7 S 0.2369 0.9809 0.7171  -0.05
8 S 0.2565 0.5130 0.2693  -0.06
9 Na 0.5000 0.5000 0.0000  0.00
10 S 0.7631 0.0191 0.2829  -0.05
11 S 0.7634 0.5268 0.2827  -0.05
12 U 0.5000 0.0000 0.5000  2.27
13 S 0.2560 0.0191 0.2829  -0.05
14 S 0.7440 0.9809 0.7171  -0.05
15 Na 0.0000 0.5000 0.0000  0.00

---

Compound: K2LaPb2
Source: Alexandria
Functional: PBE
Structure: relaxed

Values from the calculation:
Space-group type   No. 127
ΔE_f   -0.083 eV per atom
Uncorrected energy   -2.9904 eV per atom
Volume   41.7 A^3/atom

a b c (Å): 8.4122 8.4122 5.8893
angles (deg): 90.00 90.00 90.00
Positions (direct):
1 Pb 0.3713 0.8713 0.0000
2 K 0.1648 0.6648 0.5000
3 K 0.3352 0.1648 0.5000
4 K 0.6648 0.8352 0.5000
5 La 0.0000 0.0000 0.0000
6 Pb 0.1287 0.3713 0.0000
7 Pb 0.6287 0.1287 0.0000
8 K 0.8352 0.3352 0.5000
9 La 0.5000 0.5000 0.0000
10 Pb 0.8713 0.6287 0.0000

---

Compound: ScBi2Te4
Source: Alexandria
Functional: PBE
Structure: relaxed

Values from the calculation:
Space-group type   No. 139
Energy relative to the elements, uncorrected   -19 kJ per mole of atoms
Uncorrected energy   -4.0010 eV per atom
Volume   36.0 A^3/atom

a b c (Å): 5.8259 5.8259 8.4829
angles (deg): 69.92 69.92 90.00
Positions (direct):
1 Te 0.8083 0.8083 0.3834
2 Bi 0.6206 0.6206 0.7589
3 Te 0.1917 0.1917 0.6166
4 Sc 0.0000 0.0000 0.0000
5 Bi 0.3794 0.3794 0.2411
6 Te 0.0000 0.5000 0.0000
7 Te 0.5000 0.0000 0.0000

---

Compound: Sr3Er2PaBi6
Source: Alexandria
Functional: PBE
Structure: relaxed

Values from the calculation:
Space-group type   No. 12
ΔE_f   -0.709 eV per atom
Uncorrected energy   -4.6218 eV per atom
Volume   35.5 A^3/atom

a b c (Å): 7.9574 7.9574 8.2071
angles (deg): 99.29 99.29 120.02
Positions (direct):
1 Sr 0.1682 0.8318 0.5000
2 Sr 0.8318 0.1682 0.5000
3 Bi 0.0741 0.4043 0.2229
4 Pa 0.0000 0.0000 0.0000
5 Bi 0.7445 0.7445 0.2232
6 Sr 0.5000 0.5000 0.5000
7 Bi 0.4043 0.0741 0.2229
8 Bi 0.2555 0.2555 0.7768
9 Er 0.3336 0.6664 0.0000
10 Er 0.6664 0.3336 0.0000
11 Bi 0.5957 0.9259 0.7771
12 Bi 0.9259 0.5957 0.7771

---

Compound: ZrPSe2N
Source: Alexandria
Functional: PBE
Structure: relaxed

Values from the calculation:
Space-group type   No. 123
Energy relative to the elements, uncorrected   11 kJ per mole of atoms
Uncorrected energy   -5.7344 eV per atom
Volume   17.0 A^3/atom

a b c (Å): 5.0414 5.0414 3.3492
angles (deg): 90.00 90.00 90.00
Positions (direct):
1 Zr 0.5000 0.5000 0.5000
2 N 0.0000 0.0000 0.5000
3 Se 0.5000 0.0000 0.0000
4 P 0.0000 0.0000 0.0000
5 Se 0.0000 0.5000 0.0000